! Tl2H6IrAu PBE optimized geometry; values from VASP
! - energy (eV per atom) = -3.58
! - space group = C2/m
! - crystal system = monoclinic
&SYSTEM
  ibrav = 0, nat = 10, ntyp = 4
/
ATOMIC_SPECIES
Tl 204.38 Tl.upf
H 1.01 H.upf
Ir 192.22 Ir.upf
Au 196.97 Au.upf
CELL_PARAMETERS angstrom
3.578 -3.571 0.000
3.578 3.571 0.000
-3.520 0.000 5.036
ATOMIC_POSITIONS crystal
Tl 0.250 0.750 0.000
Tl 0.750 0.250 0.000
H 0.168 0.168 0.835
H 0.243 0.243 0.498
H 0.244 0.756 0.500
H 0.756 0.244 0.500
H 0.757 0.757 0.502
H 0.832 0.832 0.165
Ir 0.000 0.000 0.500
Au 0.500 0.500 0.500

! Y2HIrAu PBE optimized geometry; values from VASP
! - energy (eV per atom) = -6.40
! - space group = P4/mmm
! - crystal system = tetragonal
&SYSTEM
  ibrav = 0, nat = 5, ntyp = 4
/
ATOMIC_SPECIES
Y 88.91 Y.upf
H 1.01 H.upf
Ir 192.22 Ir.upf
Au 196.97 Au.upf
CELL_PARAMETERS angstrom
5.052 0.000 0.000
0.000 5.052 0.000
0.000 0.000 3.567
ATOMIC_POSITIONS crystal
Y 0.000 0.500 0.000
Y 0.500 0.000 0.000
H 0.000 0.000 0.000
Ir 0.000 0.000 0.500
Au 0.500 0.500 0.500

! YH4IrAu2 PBE optimized geometry; values from VASP
! - energy (eV per atom) = -4.70
! - space group = P1
! - crystal system = triclinic
&SYSTEM
  ibrav = 0, nat = 8, ntyp = 4
/
ATOMIC_SPECIES
Y 88.91 Y.upf
H 1.01 H.upf
Ir 192.22 Ir.upf
Au 196.97 Au.upf
CELL_PARAMETERS angstrom
5.067 0.000 0.000
-2.507 4.409 0.000
-0.271 -2.641 4.448
ATOMIC_POSITIONS crystal
Y 0.000 0.000 0.000
H 0.244 0.065 0.615
H 0.500 0.066 0.065
H 0.810 0.428 0.641
H 0.965 0.495 0.127
Ir 0.620 0.243 0.849
Au 0.238 0.486 0.713
Au 0.601 0.731 0.356

! ZnHIrAu2 PBE optimized geometry; values from VASP
! - energy (eV per atom) = -3.68
! - space group = P4/mmm
! - crystal system = tetragonal
&SYSTEM
  ibrav = 0, nat = 5, ntyp = 4
/
ATOMIC_SPECIES
Zn 65.41 Zn.upf
H 1.01 H.upf
Ir 192.22 Ir.upf
Au 196.97 Au.upf
CELL_PARAMETERS angstrom
3.969 0.000 0.000
0.000 3.969 0.000
0.000 0.000 4.303
ATOMIC_POSITIONS crystal
Zn 0.000 0.000 0.000
H 0.000 0.000 0.500
Ir 0.500 0.500 0.000
Au 0.000 0.500 0.500
Au 0.500 0.000 0.500

! Zr2HIrAu PBE optimized geometry; values from VASP
! - energy (eV per atom) = -7.01
! - space group = P4/mmm
! - crystal system = tetragonal
! - distance to the lowest polymorph of the same formula (eV per atom) = 0.000
&SYSTEM
  ibrav = 0, nat = 5, ntyp = 4
/
ATOMIC_SPECIES
Zr 91.22 Zr.upf
H 1.01 H.upf
Ir 192.22 Ir.upf
Au 196.97 Au.upf
CELL_PARAMETERS angstrom
4.507 0.000 0.000
0.000 4.507 0.000
0.000 0.000 3.842
ATOMIC_POSITIONS crystal
Zr 0.000 0.500 0.000
Zr 0.500 0.000 0.000
H 0.000 0.000 0.000
Ir 0.000 0.000 0.500
Au 0.500 0.500 0.500

! Zr2HIrAu PBE optimized geometry; values from VASP
! - energy (eV per atom) = -6.92
! - space group = P4/mmm
! - crystal system = tetragonal
! - distance to the lowest polymorph of the same formula (eV per atom) = 0.084
&SYSTEM
  ibrav = 0, nat = 5, ntyp = 4
/
ATOMIC_SPECIES
Zr 91.22 Zr.upf
H 1.01 H.upf
Ir 192.22 Ir.upf
Au 196.97 Au.upf
CELL_PARAMETERS angstrom
4.326 0.000 0.000
0.000 4.326 0.000
0.000 0.000 4.108
ATOMIC_POSITIONS crystal
Zr 0.000 0.500 0.000
Zr 0.500 0.000 0.000
H 0.000 0.000 0.000
Ir 0.500 0.500 0.500
Au 0.000 0.000 0.500

! K8HAu2 PBE optimized geometry; values from VASP
! - energy (eV per atom) = -1.82
! - space group = C2/m
! - crystal system = monoclinic
&SYSTEM
  ibrav = 0, nat = 11, ntyp = 3
/
ATOMIC_SPECIES
K 39.10 K.upf
H 1.01 H.upf
Au 196.97 Au.upf
CELL_PARAMETERS angstrom
7.571 -3.980 0.000
7.571 3.980 0.000
-0.019 0.000 8.626
ATOMIC_POSITIONS crystal
K 0.195 0.195 0.890
K 0.202 0.727 0.768
K 0.273 0.798 0.232
K 0.302 0.302 0.406
K 0.698 0.698 0.594
K 0.727 0.202 0.768
K 0.798 0.273 0.232
K 0.805 0.805 0.110
H 0.000 0.000 0.000
Au 0.095 0.095 0.539
Au 0.905 0.905 0.461

! KH2Au PBE optimized geometry; values from VASP
! - energy (eV per atom) = -2.15
! - space group = Fm-3m
! - crystal system = cubic
! - distance to the lowest polymorph of the same formula (eV per atom) = 0.869
&SYSTEM
  ibrav = 0, nat = 4, ntyp = 3
/
ATOMIC_SPECIES
K 39.10 K.upf
H 1.01 H.upf
Au 196.97 Au.upf
CELL_PARAMETERS angstrom
0.000 3.135 3.135
3.135 0.000 3.135
3.135 3.135 0.000
ATOMIC_POSITIONS crystal
K 0.000 0.000 0.000
H 0.250 0.250 0.250
H 0.750 0.750 0.750
Au 0.500 0.500 0.500

! KH4Au2 PBE optimized geometry; values from VASP
! - energy (eV per atom) = -2.97
! - space group = P2/m
! - crystal system = monoclinic
&SYSTEM
  ibrav = 0, nat = 7, ntyp = 3
/
ATOMIC_SPECIES
K 39.10 K.upf
H 1.01 H.upf
Au 196.97 Au.upf
CELL_PARAMETERS angstrom
5.238 0.000 0.000
0.000 3.567 0.000
-2.251 0.000 5.326
ATOMIC_POSITIONS crystal
K 0.000 0.000 0.000
H 0.262 0.000 0.625
H 0.372 0.500 0.238
H 0.628 0.500 0.762
H 0.738 0.000 0.375
Au 0.279 0.500 0.614
Au 0.721 0.500 0.386

! KH2Au PBE optimized geometry; values from VASP
! - energy (eV per atom) = -2.92
! - space group = I-42d
! - crystal system = tetragonal
! - distance to the lowest polymorph of the same formula (eV per atom) = 0.106
&SYSTEM
  ibrav = 0, nat = 8, ntyp = 3
/
ATOMIC_SPECIES
K 39.10 K.upf
H 1.01 H.upf
Au 196.97 Au.upf
CELL_PARAMETERS angstrom
-2.854 2.854 3.957
2.854 -2.854 3.957
2.854 2.854 -3.957
ATOMIC_POSITIONS crystal
K 0.000 0.000 0.000
K 0.750 0.250 0.500
H 0.278 0.125 0.653
H 0.375 0.722 0.847
H 0.472 0.625 0.347
H 0.875 0.528 0.153
Au 0.250 0.750 0.500
Au 0.500 0.500 0.000

! KH2Au2 PBE optimized geometry; values from VASP
! - energy (eV per atom) = -2.78
! - space group = P4/mbm
! - crystal system = tetragonal
! - distance to the lowest polymorph of the same formula (eV per atom) = 0.000
&SYSTEM
  ibrav = 0, nat = 10, ntyp = 3
/
ATOMIC_SPECIES
K 39.10 K.upf
H 1.01 H.upf
Au 196.97 Au.upf
CELL_PARAMETERS angstrom
8.069 0.000 0.000
0.000 8.069 0.000
0.000 0.000 2.826
ATOMIC_POSITIONS crystal
K 0.000 0.000 0.000
K 0.500 0.500 0.000
H 0.222 0.278 0.500
H 0.278 0.778 0.500
H 0.722 0.222 0.500
H 0.778 0.722 0.500
Au 0.122 0.378 0.000
Au 0.378 0.878 0.000
Au 0.622 0.122 0.000
Au 0.878 0.622 0.000

! K4HAu2 PBE optimized geometry; values from VASP
! - energy (eV per atom) = -2.25
! - space group = I4/mmm
! - crystal system = tetragonal
! - distance to the lowest polymorph of the same formula (eV per atom) = 0.014
&SYSTEM
  ibrav = 0, nat = 7, ntyp = 3
/
ATOMIC_SPECIES
K 39.10 K.upf
H 1.01 H.upf
Au 196.97 Au.upf
CELL_PARAMETERS angstrom
-2.583 2.583 8.848
2.583 -2.583 8.848
2.583 2.583 -8.848
ATOMIC_POSITIONS crystal
K 0.000 0.500 0.500
K 0.174 0.174 0.000
K 0.500 0.000 0.500
K 0.826 0.826 0.000
H 0.000 0.000 0.000
Au 0.367 0.367 0.000
Au 0.633 0.633 0.000